The following is a DFT calculation (PBE) of a relaxed KCa2CdRh crystal.

a = 5.478 Å, b = 5.478 Å, c = 5.514 Å
α = 90.00°, β = 90.00°, γ = 90.00°
Fractional positions:
Rh  0.000  0.000  0.000
Ca  0.000  0.500  0.000
Ca  0.500  0.000  0.000
Cd  0.000  0.000  0.500
K  0.500  0.500  0.500

Calculated values
energy of formation	-0.1857	eV/atom
space group	P4/mmm, No. 123
E_tot	-14.3	eV per formula unit
DOS(E_F)	0.45	states/eV/atom
magnetization	0.0	Bohr magnetons per cell

=====

The following is a DFT calculation (PBE) of a relaxed K2CaCd2S4 crystal.

a = 4.170 Å, b = 7.722 Å, c = 8.204 Å
α = 108.57°, β = 104.72°, γ = 90.00°
Fractional positions:
S  0.515  0.760  0.030
Cd  0.669  0.982  0.338
S  0.792  0.807  0.583
K  0.121  0.540  0.242
S  0.208  0.193  0.417
S  0.485  0.240  0.970
Ca  0.000  0.000  0.000
Cd  0.331  0.018  0.662
K  0.879  0.460  0.758

Calculated values
space group	C2/m, No. 12
E_tot	-32.9	eV per formula unit
DOS(E_F)	0.00	states/eV/atom
uncorrected formation energy	-1149	meV per atom
magnetization	0.0	Bohr magnetons per cell

=====

The following is a DFT calculation (PBE) of a relaxed K2CaCdSb crystal.

a = 6.705 Å, b = 5.715 Å, c = 6.705 Å
α = 90.00°, β = 90.00°, γ = 90.00°
Each line ends with the local moment (μB).
Fractional positions:
K  0.500  0.000  0.000  0.00
Cd  0.000  0.500  0.000  0.01
Sb  0.500  0.500  0.500  -0.13
Ca  0.000  0.000  0.000  0.03
K  0.000  0.000  0.500  0.00

Calculated values
space group	P4/mmm, No. 123
E_tot	-6.5	eV per formula unit
DOS(E_F)	0.60	states/eV/atom
uncorrected formation energy	551	meV per atom
magnetization	0.2	Bohr magnetons per cell

=====

The following is a DFT calculation (PBE) of a relaxed KCaCdSe2 crystal.

a = 5.475 Å, b = 6.751 Å, c = 5.475 Å
α = 90.00°, β = 90.00°, γ = 90.00°
Fractional positions:
Ca  0.000  0.000  0.000
K  0.000  0.500  0.000
Cd  0.500  0.500  0.500
Se  0.000  0.000  0.500
Se  0.500  0.000  0.000

Calculated values
space group	P4/mmm, No. 123
E_tot	-13.0	eV per formula unit
DOS(E_F)	0.99	states/eV/atom
uncorrected formation energy	-405	meV per atom
magnetization	0.0	Bohr magnetons per cell

=====

The following is a DFT calculation (PBE) of a relaxed KCaCdSn crystal.

a = 5.618 Å, b = 5.618 Å, c = 5.618 Å
α = 60.00°, β = 60.00°, γ = 60.00°
Fractional positions:
K  0.000  0.000  0.000
Sn  0.250  0.250  0.250
Ca  0.500  0.500  0.500
Cd  0.750  0.750  0.750

Calculated values
energy of formation	-0.2068	eV/atom
space group	F-43m, No. 216
E_tot	-8.8	eV per formula unit
DOS(E_F)	0.90	states/eV/atom
magnetization	0.0	Bohr magnetons per cell

=====

The following is a DFT calculation (PBE) of a relaxed KSrCaCd crystal.

a = 6.031 Å, b = 6.031 Å, c = 6.031 Å
α = 60.00°, β = 60.00°, γ = 60.00°
Fractional positions:
Cd  0.250  0.250  0.250
K  0.750  0.750  0.750
Ca  0.500  0.500  0.500
Sr  0.000  0.000  0.000

Calculated values
energy of formation	0.0342	eV/atom
space group	F-43m, No. 216
E_tot	-5.6	eV per formula unit
DOS(E_F)	1.39	states/eV/atom
magnetization	0.7	Bohr magnetons per cell

=====

The following is a DFT calculation (PBE) of a relaxed K2CaTaCd crystal.

a = 6.491 Å, b = 5.570 Å, c = 6.491 Å
α = 90.00°, β = 90.00°, γ = 90.00°
Each line ends with the local moment (μB).
Fractional positions:
Ta  0.000  0.000  0.000  2.15
K  0.500  0.000  0.000  0.05
Ca  0.500  0.500  0.500  0.01
K  0.000  0.000  0.500  0.05
Cd  0.000  0.500  0.000  0.06

Calculated values
energy of formation	1.2471	eV/atom
space group	P4/mmm, No. 123
E_tot	-10.7	eV per formula unit
DOS(E_F)	1.15	states/eV/atom
magnetization	3.9	Bohr magnetons per cell

=====

The following is a DFT calculation (PBE) of a relaxed K2CaTl5Cd2 crystal.

a = 4.349 Å, b = 12.144 Å, c = 12.144 Å
α = 90.00°, β = 90.00°, γ = 90.00°
Fractional positions:
Tl  0.500  0.442  0.299
Tl  0.500  0.500  0.000
Ca  0.000  0.000  0.000
Tl  0.500  0.000  0.500
Tl  0.500  0.558  0.701
Cd  0.000  0.872  0.372
Tl  0.500  0.058  0.799
Tl  0.500  0.942  0.201
Tl  0.500  0.299  0.558
K  0.000  0.326  0.826
Ca  0.000  0.500  0.500
K  0.000  0.674  0.174
Tl  0.500  0.701  0.442
K  0.000  0.826  0.674
Tl  0.500  0.799  0.942
Cd  0.000  0.128  0.628
Tl  0.500  0.201  0.058
Cd  0.000  0.372  0.128
K  0.000  0.174  0.326
Cd  0.000  0.628  0.872

Calculated values
energy of formation	-0.1232	eV/atom
space group	P4/mbm, No. 127
E_tot	-19.1	eV per formula unit
DOS(E_F)	0.40	states/eV/atom
magnetization	0.0	Bohr magnetons per cell

=====

The following is a DFT calculation (PBE) of a relaxed Ca4LaCd crystal.

a = 6.924 Å, b = 6.924 Å, c = 6.924 Å
α = 60.00°, β = 60.00°, γ = 60.00°
Each line ends with the local moment (μB).
Fractional positions:
Ca  0.375  0.375  0.875  0.04
Ca  0.375  0.375  0.375  0.04
Cd  0.750  0.750  0.750  0.00
La  0.000  0.000  0.000  0.15
Ca  0.875  0.375  0.375  0.04
Ca  0.375  0.875  0.375  0.04

Calculated values
energy of formation	0.2641	eV/atom
space group	F-43m, No. 216
E_tot	-12.3	eV per formula unit
DOS(E_F)	1.49	states/eV/atom
magnetization	0.9	Bohr magnetons per cell

=====

The following is a DFT calculation (PBE) of a relaxed Ca2LaCd crystal.

a = 3.792 Å, b = 3.792 Å, c = 9.826 Å
α = 90.00°, β = 90.00°, γ = 90.00°
Fractional positions:
La  0.500  0.500  0.705
Cd  0.000  0.000  0.495
Ca  0.500  0.500  0.299
Ca  0.000  0.000  0.001

Calculated values
energy of formation	-0.1487	eV/atom
space group	P4mm, No. 99
E_tot	-10.4	eV per formula unit
DOS(E_F)	1.07	states/eV/atom
magnetization	0.0	Bohr magnetons per cell

=====

The following is a DFT calculation (PBE) of a relaxed Ca4LaCd5 crystal.

a = 3.853 Å, b = 3.853 Å, c = 19.370 Å
α = 90.00°, β = 90.00°, γ = 90.00°
Each line ends with the local moment (μB).
Fractional positions:
Cd  0.500  0.500  0.105  0.01
La  0.000  0.000  0.000  0.12
Ca  0.000  0.000  0.599  0.00
Ca  0.000  0.000  0.204  0.00
Cd  0.500  0.500  0.697  0.00
Cd  0.500  0.500  0.500  0.00
Cd  0.500  0.500  0.303  0.00
Ca  0.000  0.000  0.796  0.00
Cd  0.500  0.500  0.895  0.01
Ca  0.000  0.000  0.401  0.00

Calculated values
energy of formation	-0.3529	eV/atom
space group	P4/mmm, No. 123
E_tot	-21.0	eV per formula unit
DOS(E_F)	0.92	states/eV/atom
magnetization	0.3	Bohr magnetons per cell

=====

The following is a DFT calculation (PBE) of a relaxed Ca2LaCd crystal.

a = 6.242 Å, b = 6.242 Å, c = 3.732 Å
α = 90.00°, β = 90.00°, γ = 109.89°
Fractional positions:
La  0.000  0.500  0.500
Ca  0.000  0.000  0.000
Ca  0.500  0.500  0.000
Cd  0.500  0.000  0.500

Calculated values
energy of formation	-0.0185	eV/atom
space group	Cmmm, No. 65
E_tot	-9.9	eV per formula unit
DOS(E_F)	0.91	states/eV/atom
magnetization	0.0	Bohr magnetons per cell

=====

Density for the records above, in order: 3357; 3245; 2278; 2868; 4109; 2989; 2912; 7068; 2913; 3896; 4974; 4026 kg/m³